DFT (PBE-GGA) results for crystalline BaLi2PbF8 at its relaxed geometry.

```
data_BaLi2PbF8
_cell_length_a 4.643
_cell_length_b 5.281
_cell_length_c 7.899
_cell_angle_alpha 86.94
_cell_angle_beta 87.43
_cell_angle_gamma 78.09
_symmetry_space_group_name_H-M 'P -1'
_symmetry_Int_Tables_number 2
loop_
_symmetry_equiv_pos_as_xyz
'x,y,z'
'-x,-y,-z'
loop_
_atom_site_label
_atom_site_fract_x
_atom_site_fract_y
_atom_site_fract_z
Ba1 0.000 0.000 0.000
Li1 0.488 0.490 0.190
Pb1 0.000 0.000 0.500
F1 0.195 0.761 0.714
F2 0.209 0.768 0.293
F3 0.297 0.236 0.487
F4 0.389 0.296 0.004
```

Properties
Mass density   4.48 g/cm3
Formation energy without anion corrections   -3157 kJ/mol of formula units